1.
LaVN3: relaxed, PBE.

CIF file:
```
data_LaVN3
_cell_length_a 3.558
_cell_length_b 3.436
_cell_length_c 5.462
_cell_angle_alpha 90.00
_cell_angle_beta 98.24
_cell_angle_gamma 90.00
_symmetry_space_group_name_H-M 'P 1 m 1'
_symmetry_Int_Tables_number 6
_symmetry_space_group_name_Hall 'P -2y'
loop_
_atom_site_label
_atom_site_type_symbol
_atom_site_fract_x
_atom_site_fract_y
_atom_site_fract_z
La1 La 0.000 0.000 0.000
V1 V 0.386 0.500 0.510
N1 N 0.425 0.000 0.671
N2 N 0.565 0.500 0.178
N3 N 0.870 0.500 0.365
```

- Energy relative to the elements, uncorrected: -0.762 eV/atom
- M_tot: 0.75 μB/f.u.

2.
Si2HgW: relaxed, PBE.

CIF file:
```
data_Si2HgW
_cell_length_a 3.311
_cell_length_b 3.311
_cell_length_c 6.030
_cell_angle_alpha 90.00
_cell_angle_beta 90.00
_cell_angle_gamma 90.00
_symmetry_space_group_name_H-M 'P 4/m m m'
_symmetry_Int_Tables_number 123
_symmetry_space_group_name_Hall '-P 4 2'
loop_
_atom_site_label
_atom_site_type_symbol
_atom_site_fract_x
_atom_site_fract_y
_atom_site_fract_z
Si1 Si 0.000 0.000 0.207
Hg1 Hg 0.500 0.500 0.500
W1 W 0.500 0.500 0.000
```

- Energy relative to the elements, uncorrected: 0.299 eV/atom
- M_tot: 0.00 μB/f.u.

3.
CaHo3Ru2: relaxed, PBE.

CIF file:
```
data_CaHo3Ru2
_cell_length_a 6.9157
_cell_length_b 6.9157
_cell_length_c 3.8617
_cell_angle_alpha 90.00
_cell_angle_beta 90.00
_cell_angle_gamma 120.00
_symmetry_space_group_name_H-M 'P 6/m m m'
_symmetry_Int_Tables_number 191
_symmetry_space_group_name_Hall '-P 6 2'
loop_
_atom_site_label
_atom_site_type_symbol
_atom_site_fract_x
_atom_site_fract_y
_atom_site_fract_z
Ca1 Ca 0.0000 0.0000 0.0000
Ho1 Ho 0.0000 0.5000 0.5000
Ru1 Ru 0.3333 0.6667 0.0000
```

- ΔE to the lowest computed polymorph: 0.1532 eV per atom
- ΔH_f (0 K): -139 meV per atom
- M_tot: 0.00 μB/f.u.

4.
HfPbO3: relaxed, PBE.

CIF file:
```
data_HfPbO3
_cell_length_a 4.223
_cell_length_b 4.223
_cell_length_c 4.223
_cell_angle_alpha 90.00
_cell_angle_beta 90.00
_cell_angle_gamma 90.00
_symmetry_space_group_name_H-M 'P m -3 m'
_symmetry_Int_Tables_number 221
_symmetry_space_group_name_Hall '-P 4 2 3'
loop_
_atom_site_label
_atom_site_type_symbol
_atom_site_fract_x
_atom_site_fract_y
_atom_site_fract_z
Hf1 Hf 0.000 0.000 0.000
Pb1 Pb 0.500 0.500 0.500
O1 O 0.000 0.500 0.500
```

- Energy relative to the elements, uncorrected: -0.333 eV/atom
- M_tot: 1.51 μB/f.u.

5.
Sm5Ni6: relaxed, PBE.

CIF file:
```
data_Sm5Ni6
_cell_length_a 4.122
_cell_length_b 28.142
_cell_length_c 3.871
_cell_angle_alpha 90.00
_cell_angle_beta 90.00
_cell_angle_gamma 90.00
_symmetry_space_group_name_H-M 'C m m m'
_symmetry_Int_Tables_number 65
_symmetry_space_group_name_Hall '-C 2 2'
loop_
_atom_site_label
_atom_site_type_symbol
_atom_site_fract_x
_atom_site_fract_y
_atom_site_fract_z
Sm1 Sm 0.000 0.000 0.000
Sm2 Sm 0.000 0.197 0.500
Sm3 Sm 0.000 0.387 0.000
Ni1 Ni 0.000 0.088 0.500
Ni2 Ni 0.000 0.276 0.000
Ni3 Ni 0.000 0.459 0.500
```

- ΔH_f (0 K): -361 meV per atom
- M_tot: 0.00 μB/f.u.

6.
Ru5Pt: relaxed, PBE.

CIF file:
```
data_Ru5Pt
_cell_length_a 9.934
_cell_length_b 2.738
_cell_length_c 6.437
_cell_angle_alpha 90.00
_cell_angle_beta 103.83
_cell_angle_gamma 90.00
_symmetry_space_group_name_H-M 'C 1 m 1'
_symmetry_Int_Tables_number 8
_symmetry_space_group_name_Hall 'C -2y'
loop_
_atom_site_label
_atom_site_type_symbol
_atom_site_fract_x
_atom_site_fract_y
_atom_site_fract_z
Ru1 Ru 0.000 0.000 0.000
Ru2 Ru 0.054 0.000 0.601
Ru3 Ru 0.161 0.500 0.321
Ru4 Ru 0.217 0.500 0.942
Ru5 Ru 0.386 0.000 0.269
Pt1 Pt 0.331 0.000 0.662
```

- ΔE to the lowest computed polymorph: 0.0073 eV per atom
- ΔH_f (0 K): 13 meV per atom
- M_tot: 0.00 μB/f.u.